Entry from Alexandria via LeMat-Bulk: a relaxed RbNaMgSn2 crystal (GGA-PBE).

a = 5.549 Å, b = 5.934 Å, c = 5.549 Å
α = 90.00°, β = 90.00°, γ = 90.00°
Positions (direct):
1 Sn 0.500 0.000 0.000
2 Sn 0.000 0.000 0.500
3 Mg 0.000 0.000 0.000
4 Rb 0.500 0.500 0.500
5 Na 0.000 0.500 0.000

Results
DOS(E_F) = 3.76 states/eV/f.u.

***

Entry from Alexandria via LeMat-Bulk: a relaxed RbNa2MgTl crystal (GGA-PBE).

a = 6.126 Å, b = 6.126 Å, c = 5.561 Å
α = 90.00°, β = 90.00°, γ = 90.00°
Positions (direct):
1 Mg 0.000 0.000 0.500
2 Tl 0.000 0.000 0.000
3 Na 0.000 0.500 0.000
4 Na 0.500 0.000 0.000
5 Rb 0.500 0.500 0.500

Results
DOS(E_F) = 1.94 states/eV/f.u.
polymorph energy (0 for the lowest one) = 0.000 eV/atom

***

Entry from Alexandria via LeMat-Bulk: a relaxed Rb2NaMgTl6 crystal (GGA-PBE).

a = 8.208 Å, b = 8.208 Å, c = 8.208 Å
α = 60.00°, β = 60.00°, γ = 90.00°
Positions (direct):
1 Tl 0.746 0.746 0.000
2 Tl 0.746 0.254 0.000
3 Tl 0.746 0.746 0.509
4 Tl 0.254 0.746 0.000
5 Tl 0.254 0.254 0.491
6 Tl 0.254 0.254 0.000
7 Mg 0.500 0.500 0.000
8 Rb 0.250 0.750 0.500
9 Rb 0.750 0.250 0.500
10 Na 0.000 0.000 0.000

Results
DOS(E_F) = 7.53 states/eV/f.u.

***

Entry from Alexandria via LeMat-Bulk: a relaxed Rb2NaMg2Tl5 crystal (GGA-PBE).

a = 3.891 Å, b = 12.952 Å, c = 12.952 Å
α = 90.00°, β = 90.00°, γ = 90.00°
Positions (direct):
1 Tl 0.500 0.053 0.801
2 Tl 0.500 0.301 0.553
3 Tl 0.500 0.553 0.699
4 Tl 0.500 0.500 0.000
5 Tl 0.500 0.000 0.500
6 Tl 0.500 0.199 0.053
7 Tl 0.500 0.947 0.199
8 Tl 0.500 0.699 0.447
9 Tl 0.500 0.801 0.947
10 Tl 0.500 0.447 0.301
11 Na 0.000 0.500 0.500
12 Na 0.000 0.000 0.000
13 Rb 0.000 0.678 0.178
14 Rb 0.000 0.178 0.322
15 Rb 0.000 0.822 0.678
16 Rb 0.000 0.322 0.822
17 Mg 0.000 0.124 0.624
18 Mg 0.000 0.376 0.124
19 Mg 0.000 0.624 0.876
20 Mg 0.000 0.876 0.376

Results
DOS(E_F) = 6.62 states/eV/f.u.

***

Entry from Alexandria via LeMat-Bulk: a relaxed RbNa2MgTl crystal (GGA-PBE).

a = 6.166 Å, b = 6.166 Å, c = 5.708 Å
α = 90.00°, β = 90.00°, γ = 90.00°
Positions (direct):
1 Tl 0.000 0.000 0.500
2 Rb 0.500 0.500 0.500
3 Na 0.000 0.500 0.000
4 Na 0.500 0.000 0.000
5 Mg 0.000 0.000 0.000

Results
DOS(E_F) = 2.84 states/eV/f.u.
polymorph energy (0 for the lowest one) = 0.061 eV/atom

***

Entry from Alexandria via LeMat-Bulk: a relaxed Rb2NaMg3Tl12 crystal (GGA-PBE).

a = 8.411 Å, b = 8.411 Å, c = 8.411 Å
α = 86.13°, β = 86.13°, γ = 86.13°
Positions (direct):
1 Tl 0.627 0.627 0.055
2 Tl 0.055 0.627 0.627
3 Tl 0.811 0.811 0.291
4 Tl 0.373 0.373 0.945
5 Tl 0.709 0.189 0.189
6 Tl 0.811 0.291 0.811
7 Tl 0.189 0.709 0.189
8 Tl 0.291 0.811 0.811
9 Tl 0.373 0.945 0.373
10 Tl 0.945 0.373 0.373
11 Tl 0.189 0.189 0.709
12 Tl 0.627 0.055 0.627
13 Mg 0.500 0.000 0.000
14 Mg 0.000 0.000 0.500
15 Mg 0.000 0.500 0.000
16 Rb 0.382 0.382 0.382
17 Rb 0.618 0.618 0.618
18 Na 0.000 0.000 0.000

Results
DOS(E_F) = 9.27 states/eV/f.u.

***

Entry from Alexandria via LeMat-Bulk: a relaxed Rb2Na2MgTl5 crystal (GGA-PBE).

a = 4.516 Å, b = 12.220 Å, c = 12.220 Å
α = 90.00°, β = 90.00°, γ = 90.00°
Positions (direct):
1 Tl 0.500 0.040 0.818
2 Tl 0.500 0.960 0.182
3 Tl 0.500 0.682 0.460
4 Tl 0.500 0.182 0.040
5 Tl 0.500 0.000 0.500
6 Tl 0.500 0.318 0.540
7 Tl 0.500 0.818 0.960
8 Tl 0.500 0.460 0.318
9 Tl 0.500 0.540 0.682
10 Tl 0.500 0.500 0.000
11 Na 0.000 0.872 0.372
12 Na 0.000 0.128 0.628
13 Na 0.000 0.628 0.872
14 Na 0.000 0.372 0.128
15 Mg 0.000 0.500 0.500
16 Mg 0.000 0.000 0.000
17 Rb 0.000 0.180 0.320
18 Rb 0.000 0.680 0.180
19 Rb 0.000 0.320 0.820
20 Rb 0.000 0.820 0.680

Results
DOS(E_F) = 5.07 states/eV/f.u.

***

Entry from Alexandria via LeMat-Bulk: a relaxed RbNa2MgV crystal (GGA-PBE).

a = 5.865 Å, b = 6.314 Å, c = 5.865 Å
α = 90.00°, β = 90.00°, γ = 90.00°
Positions (direct):
1 Na 0.500 0.000 0.000
2 Na 0.000 0.000 0.500
3 Rb 0.000 0.000 0.000
4 V 0.500 0.500 0.500
5 Mg 0.000 0.500 0.000

Results
DOS(E_F) = 5.78 states/eV/f.u.

***

| no. | ΔH_f (0 K) (meV per atom) |
| --- | --- |
| 1 | 91 |
| 2 | 45 |
| 3 | 104 |
| 4 | -26 |
| 5 | 106 |
| 6 | 54 |
| 7 | -35 |
| 8 | 1382 |